Entry 1:
Sm6Ga3H | PBE | optimized geometry

**Density of states at the Fermi level**: 10.6 states/eV/f.u.
**E**: -4.43 eV per atom

```
data_Sm6Ga3H
_space_group_name_H-M_alt 'P 1 21/c 1'
_space_group_IT_number 14
_space_group_name_Hall '-P 2ybc'
_cell_length_a 6.3901
_cell_length_b 8.2982
_cell_length_c 11.2321
_cell_angle_alpha 90.00
_cell_angle_beta 119.90
_cell_angle_gamma 90.00
loop_
_atom_site_label
_atom_site_type_symbol
_atom_site_fract_x
_atom_site_fract_y
_atom_site_fract_z
Sm1 Sm 0.0850 0.0485 0.2293
Sm2 Sm 0.1722 0.6942 0.0593
Sm3 Sm 0.4146 0.1608 0.0547
Ga1 Ga 0.3193 0.1187 0.7406
Ga2 Ga 0.5000 0.0000 0.5000
H1 H 0.0000 0.0000 0.0000
```

Entry 2:
La2Rh2Pb | PBE | optimized geometry

**Density of states at the Fermi level**: 5.2 states/eV/f.u.
**E**: -6.13 eV per atom

```
data_La2Rh2Pb
_space_group_name_H-M_alt 'I 4/m m m'
_space_group_IT_number 139
_space_group_name_Hall '-I 4 2'
_cell_length_a 3.9057
_cell_length_b 3.9057
_cell_length_c 17.6305
_cell_angle_alpha 90.00
_cell_angle_beta 90.00
_cell_angle_gamma 90.00
loop_
_atom_site_label
_atom_site_type_symbol
_atom_site_fract_x
_atom_site_fract_y
_atom_site_fract_z
La1 La 0.0000 0.0000 0.1308
Rh1 Rh 0.0000 0.5000 0.2500
Pb1 Pb 0.0000 0.0000 0.5000
```

Quick rundown of ρ, same order as above: 7155; 8531 kg/m3